Run A
A crystal of MnBe2Pt relaxed with PBEsol, computed with SCAN. Values from VASP.

Structure (Quantum ESPRESSO input):
```
&SYSTEM
  ibrav = 0, nat = 4, ntyp = 3
/
ATOMIC_SPECIES
Mn 54.94 Mn.upf
Be 9.01 Be.upf
Pt 195.08 Pt.upf
ATOMIC_POSITIONS angstrom
Mn 0.0000 -0.4123 2.2111
Be 1.3081 1.3046 3.2913
Be 0.0000 1.6836 1.1475
Pt 1.3081 0.0000 0.0000
CELL_PARAMETERS angstrom
2.6161 0.0000 0.0000
-1.3081 3.8129 0.0167
0.0000 -0.8247 4.4221
```

Summary:
calculated density: 10.08 g cm⁻³
N(E_F): 1.73 states/eV per cell

Run B
A crystal of MnBe2Pt relaxed with PBEsol, computed with SCAN. Values from VASP.

Structure (Quantum ESPRESSO input):
```
&SYSTEM
  ibrav = 0, nat = 4, ntyp = 3
/
ATOMIC_SPECIES
Mn 54.94 Mn.upf
Be 9.01 Be.upf
Pt 195.08 Pt.upf
ATOMIC_POSITIONS angstrom
Mn 1.3707 1.3707 0.0000
Be 0.0000 0.0000 4.1915
Be 0.0000 0.0000 1.3492
Pt 1.3707 1.3707 2.7703
CELL_PARAMETERS angstrom
2.7415 0.0000 0.0000
0.0000 2.7415 0.0000
0.0000 0.0000 5.5407
```

Summary:
calculated density: 10.69 g cm⁻³
N(E_F): 1.44 states/eV per cell

Run C
A crystal of MnBe2Pt relaxed with PBEsol, computed with SCAN. Values from VASP.

Structure (Quantum ESPRESSO input):
```
&SYSTEM
  ibrav = 0, nat = 4, ntyp = 3
/
ATOMIC_SPECIES
Be 9.01 Be.upf
Pt 195.08 Pt.upf
Mn 54.94 Mn.upf
ATOMIC_POSITIONS angstrom
Be -1.5686 -0.3011 6.9846
Be -0.5229 -0.1004 2.3282
Pt -1.0458 -0.2007 4.6564
Mn 0.0000 0.0000 0.0000
CELL_PARAMETERS angstrom
-1.1552 2.0708 3.0964
-2.3291 -1.6243 2.6735
1.3928 -0.8480 3.5429
```

Summary:
calculated density: 10.61 g cm⁻³
N(E_F): 0.92 states/eV per cell

Energy ordering: run C at the bottom, the next structure 0.161 eV/atom above.